Material: LiLaY2Cd4
Method: DFT, PBE-GGA
State: relaxed

The value obtained for the density of states at the Fermi level is 21.64 states/eV/cell. As for the crystal system: trigonal.

The structure belongs to space group R-3m (No. 166, hexagonal axes); the cell edges are 5.2373, 5.2373 and 26.4674 Å and the angles 90.00°, 90.00° and 120.00°. The inequivalent atoms are Li at (0.0000, 0.0000, 0.0000), La at (0.0000, 0.0000, 0.5000), Y at (0.0000, 0.0000, 0.2547), Cd at (0.0000, 0.0000, 0.1143) and Cd at (0.0000, 0.0000, 0.3726).

Material: LiLaYCd
Method: DFT, PBE-GGA
State: relaxed

The value obtained for the density of states at the Fermi level is 22.50 states/eV/cell. As for the crystal system: cubic.

The structure belongs to space group F-43m (No. 216); the cell edges are 7.6579, 7.6579 and 7.6579 Å and the angles 90.00°, 90.00° and 90.00°. The inequivalent atoms are Li at (0.0000, 0.0000, 0.0000), La at (0.2500, 0.2500, 0.2500), Y at (0.2500, 0.2500, 0.7500) and Cd at (0.0000, 0.0000, 0.5000).

Material: Li2LaZnCd4
Method: DFT, PBE-GGA
State: relaxed

The value obtained for the density of states at the Fermi level is 15.50 states/eV/cell. As for the crystal system: trigonal.

The structure belongs to space group R-3m (No. 166, hexagonal axes); the cell edges are 4.6778, 4.6778 and 28.2842 Å and the angles 90.00°, 90.00° and 120.00°. The inequivalent atoms are Li at (0.0000, 0.0000, 0.2341), La at (0.0000, 0.0000, 0.0000), Zn at (0.0000, 0.0000, 0.5000), Cd at (0.0000, 0.0000, 0.1281) and Cd at (0.0000, 0.0000, 0.4004).

Material: LiLa2ZnCd6
Method: DFT, PBE-GGA
State: relaxed

The value obtained for the density of states at the Fermi level is 9.34 states/eV/cell. As for the crystal system: monoclinic.

The structure belongs to space group C2/m (No. 12); the cell edges are 10.0007, 9.9894 and 7.0680 Å and the angles 90.00°, 134.87° and 90.00°. The inequivalent atoms are Li at (0.0000, 0.0000, 0.0000), La at (0.0000, 0.2499, 0.5000), Zn at (0.0000, 0.5000, 0.0000), Cd at (0.0000, 0.2426, 0.0000), Cd at (0.2425, 0.0000, 0.9998) and Cd at (0.2424, 0.0000, 0.4854).

Material: LaLu2Cd
Method: DFT, PBE-GGA
State: relaxed

The value obtained for the density of states at the Fermi level is 5.61 states/eV/cell. As for the crystal system: tetragonal.

The structure belongs to space group P4/mmm (No. 123); the cell edges are 4.8641, 4.8641 and 4.9048 Å and the angles 90.00°, 90.00° and 90.00°. The inequivalent atoms are La at (0.0000, 0.0000, 0.0000), Lu at (0.0000, 0.5000, 0.5000) and Cd at (0.5000, 0.5000, 0.0000).

Material: LaLuCd2
Method: DFT, PBE-GGA
State: relaxed

The value obtained for the density of states at the Fermi level is 4.63 states/eV/cell. As for the crystal system: tetragonal.

The structure belongs to space group P4/mmm (No. 123); the cell edges are 5.3701, 5.3701 and 3.8530 Å and the angles 90.00°, 90.00° and 90.00°. The inequivalent atoms are La at (0.0000, 0.0000, 0.0000), Lu at (0.5000, 0.5000, 0.0000) and Cd at (0.0000, 0.5000, 0.5000).

Material: LaLuCd2
Method: DFT, PBE-GGA
State: relaxed

The value obtained for the density of states at the Fermi level is 3.33 states/eV/cell. As for the crystal system: tetragonal.

The structure belongs to space group P4/mmm (No. 123); the cell edges are 3.7108, 3.7108 and 7.9686 Å and the angles 90.00°, 90.00° and 90.00°. The inequivalent atoms are La at (0.0000, 0.0000, 0.0000), Lu at (0.0000, 0.0000, 0.5000) and Cd at (0.5000, 0.5000, 0.2793).

Material: LaLuCd4
Method: DFT, PBE-GGA
State: relaxed

The value obtained for the density of states at the Fermi level is 13.82 states/eV/cell. As for the crystal system: cubic.

The structure belongs to space group F-43m (No. 216); the cell edges are 8.4451, 8.4451 and 8.4451 Å and the angles 90.00°, 90.00° and 90.00°. The inequivalent atoms are La at (0.0000, 0.0000, 0.0000), Lu at (0.2500, 0.2500, 0.2500) and Cd at (0.1248, 0.1248, 0.6248).

Material: LaLuCd
Method: DFT, PBE-GGA
State: relaxed

The value obtained for the density of states at the Fermi level is 5.07 states/eV/cell. As for the crystal system: trigonal.

The structure belongs to space group P3m1 (No. 156); the cell edges are 5.2857, 5.2857 and 3.7658 Å and the angles 90.00°, 90.00° and 120.00°. The inequivalent atoms are La at (0.0000, 0.0000, 0.0000), Lu at (0.3333, 0.6667, 0.4986) and Cd at (0.6667, 0.3333, 0.5039).

Material: LaLuCd2
Method: DFT, PBE-GGA
State: relaxed

The value obtained for the density of states at the Fermi level is 17.08 states/eV/cell. As for the crystal system: cubic.

The structure belongs to space group Fm-3m (No. 225); the cell edges are 7.6351, 7.6351 and 7.6351 Å and the angles 90.00°, 90.00° and 90.00°. The inequivalent atoms are La at (0.0000, 0.0000, 0.0000), Lu at (0.0000, 0.0000, 0.5000) and Cd at (0.2500, 0.2500, 0.2500).

Material: LaLuCd
Method: DFT, PBE-GGA
State: relaxed

The value obtained for the density of states at the Fermi level is 6.39 states/eV/cell. As for the crystal system: tetragonal.

The structure belongs to space group I4mm (No. 107); the cell edges are 3.2401, 3.2401 and 17.8060 Å and the angles 90.00°, 90.00° and 90.00°. The inequivalent atoms are La at (0.0000, 0.0000, 0.0000), Lu at (0.0000, 0.0000, 0.1915) and Cd at (0.0000, 0.0000, 0.8159).

Material: La2LuCd
Method: DFT, PBE-GGA
State: relaxed

The value obtained for the density of states at the Fermi level is 5.84 states/eV/cell. As for the crystal system: tetragonal.

The structure belongs to space group P4/mmm (No. 123); the cell edges are 3.8254, 3.8254 and 8.7971 Å and the angles 90.00°, 90.00° and 90.00°. The inequivalent atoms are La at (0.0000, 0.0000, 0.2333), Lu at (0.5000, 0.5000, 0.5000) and Cd at (0.5000, 0.5000, 0.0000).

Material: LaLu2Cd
Method: DFT, PBE-GGA
State: relaxed

The value obtained for the density of states at the Fermi level is 24.27 states/eV/cell. As for the crystal system: cubic.

The structure belongs to space group Fm-3m (No. 225); the cell edges are 7.6735, 7.6735 and 7.6735 Å and the angles 90.00°, 90.00° and 90.00°. The inequivalent atoms are La at (0.0000, 0.0000, 0.0000), Lu at (0.2500, 0.2500, 0.2500) and Cd at (0.0000, 0.0000, 0.5000).

Material: LaLu2Cd
Method: DFT, PBE-GGA
State: relaxed

The value obtained for the density of states at the Fermi level is 4.82 states/eV/cell. As for the crystal system: tetragonal.

The structure belongs to space group P4/mmm (No. 123); the cell edges are 3.6046, 3.6046 and 8.9933 Å and the angles 90.00°, 90.00° and 90.00°. The inequivalent atoms are La at (0.0000, 0.0000, 0.0000), Lu at (0.5000, 0.5000, 0.2857) and Cd at (0.0000, 0.0000, 0.5000).

Material: LaLu2Cd
Method: DFT, PBE-GGA
State: relaxed

The value obtained for the density of states at the Fermi level is 11.55 states/eV/cell. As for the crystal system: trigonal.

The structure belongs to space group R-3m (No. 166, hexagonal axes); the cell edges are 3.5597, 3.5597 and 32.2783 Å and the angles 90.00°, 90.00° and 120.00°. The inequivalent atoms are La at (0.0000, 0.0000, 0.0000), Lu at (0.0000, 0.0000, 0.2423) and Cd at (0.0000, 0.0000, 0.5000).

Material: La2LuCd
Method: DFT, PBE-GGA
State: relaxed

The value obtained for the density of states at the Fermi level is 14.15 states/eV/cell. As for the crystal system: trigonal.

The structure belongs to space group R-3m (No. 166, hexagonal axes); the cell edges are 3.5303, 3.5303 and 37.6135 Å and the angles 90.00°, 90.00° and 120.00°. The inequivalent atoms are La at (0.0000, 0.0000, 0.0901), Lu at (0.0000, 0.0000, 0.5000) and Cd at (0.0000, 0.0000, 0.0000).

Material: NaLaLuCd
Method: DFT, PBE-GGA
State: relaxed

The value obtained for the density of states at the Fermi level is 25.02 states/eV/cell. As for the crystal system: cubic.

The structure belongs to space group F-43m (No. 216); the cell edges are 7.7691, 7.7691 and 7.7691 Å and the angles 90.00°, 90.00° and 90.00°. The inequivalent atoms are Na at (0.0000, 0.0000, 0.0000), La at (0.2500, 0.2500, 0.2500), Lu at (0.2500, 0.2500, 0.7500) and Cd at (0.0000, 0.0000, 0.5000).

Material: LaLuCdOs
Method: DFT, PBE-GGA
State: relaxed

The value obtained for the density of states at the Fermi level is 14.18 states/eV/cell. As for the crystal system: cubic.

The structure belongs to space group F-43m (No. 216); the cell edges are 7.2115, 7.2115 and 7.2115 Å and the angles 90.00°, 90.00° and 90.00°. The inequivalent atoms are La at (0.0000, 0.0000, 0.0000), Lu at (0.0000, 0.0000, 0.5000), Cd at (0.2500, 0.2500, 0.2500) and Os at (0.2500, 0.2500, 0.7500).

Material: LaLuCdPd
Method: DFT, PBE-GGA
State: relaxed

The value obtained for the density of states at the Fermi level is 15.16 states/eV/cell. As for the crystal system: cubic.

The structure belongs to space group F-43m (No. 216); the cell edges are 7.3787, 7.3787 and 7.3787 Å and the angles 90.00°, 90.00° and 90.00°. The inequivalent atoms are La at (0.0000, 0.0000, 0.0000), Lu at (0.0000, 0.0000, 0.5000), Cd at (0.2500, 0.2500, 0.2500) and Pd at (0.2500, 0.2500, 0.7500).

Material: LaPrLuCd
Method: DFT, PBE-GGA
State: relaxed

The value obtained for the density of states at the Fermi level is 18.36 states/eV/cell. As for the crystal system: cubic.

The structure belongs to space group F-43m (No. 216); the cell edges are 7.9045, 7.9045 and 7.9045 Å and the angles 90.00°, 90.00° and 90.00°. The inequivalent atoms are La at (0.0000, 0.0000, 0.0000), Pr at (0.0000, 0.0000, 0.5000), Lu at (0.2500, 0.2500, 0.2500) and Cd at (0.2500, 0.2500, 0.7500).

Number 1: calculated density 6.127 Mg/m³, energy of formation from the pure elements -0.2727 eV per atom, magnetization 0.00 μB/f.u.. Number 2: calculated density 5.135 Mg/m³, energy of formation from the pure elements -0.1270 eV per atom, magnetization 0.02 μB/f.u.. Number 3: calculated density 6.207 Mg/m³, energy of formation from the pure elements -0.2011 eV per atom, magnetization 0.00 μB/f.u.. Number 4: calculated density 6.800 Mg/m³, energy of formation from the pure elements -0.1147 eV per atom, magnetization 0.00 μB/f.u.. Number 5: calculated density 8.603 Mg/m³, energy of formation from the pure elements -0.0716 eV per atom, magnetization 0.40 μB/f.u.. Number 6: calculated density 8.051 Mg/m³, energy of formation from the pure elements -0.2672 eV per atom, magnetization 0.12 μB/f.u.. Number 7: calculated density 8.152 Mg/m³, energy of formation from the pure elements -0.3116 eV per atom, magnetization 0.36 μB/f.u.. Number 8: calculated density 8.420 Mg/m³, energy of formation from the pure elements -0.2555 eV per atom, magnetization 0.00 μB/f.u.. Number 9: calculated density 7.769 Mg/m³, energy of formation from the pure elements -0.0887 eV per atom, magnetization 0.00 μB/f.u.. Number 10: calculated density 8.039 Mg/m³, energy of formation from the pure elements -0.3001 eV per atom, magnetization 0.00 μB/f.u.. Number 11: calculated density 7.573 Mg/m³, energy of formation from the pure elements 0.2954 eV per atom, magnetization 0.00 μB/f.u.. Number 12: calculated density 7.290 Mg/m³, energy of formation from the pure elements -0.1221 eV per atom, magnetization 0.14 μB/f.u.. Number 13: calculated density 8.839 Mg/m³, energy of formation from the pure elements 0.0640 eV per atom, magnetization 2.39 μB/f.u.. Number 14: calculated density 8.544 Mg/m³, energy of formation from the pure elements -0.1304 eV per atom, magnetization 0.00 μB/f.u.. Number 15: calculated density 8.456 Mg/m³, energy of formation from the pure elements -0.0658 eV per atom, magnetization 0.00 μB/f.u.. Number 16: calculated density 6.935 Mg/m³, energy of formation from the pure elements 0.1462 eV per atom, magnetization 0.00 μB/f.u.. Number 17: calculated density 6.364 Mg/m³, energy of formation from the pure elements 0.0347 eV per atom, magnetization 0.06 μB/f.u.. Number 18: calculated density 10.919 Mg/m³, energy of formation from the pure elements -0.1187 eV per atom, magnetization 0.00 μB/f.u.. Number 19: calculated density 8.807 Mg/m³, energy of formation from the pure elements -0.4977 eV per atom, magnetization 0.00 μB/f.u.. Number 20: calculated density 7.628 Mg/m³, energy of formation from the pure elements -0.0747 eV per atom, magnetization 0.00 μB/f.u..